CdPS2N, relaxed, DFT PBE; density of states at the Fermi level = 1.69 states/eV/f.u.; formation energy (no corrections) = 368 meV/atom; E_tot = -21.07 eV per cell; mass density = 4.801 Mg/m³; distance to the lowest polymorph of the same formula = 0.0000 eV/atom
1.0
4.8141 0.0000 0.0000
0.0000 4.8141 0.0000
0.0000 0.0000 3.3060
Cd P S N
1 1 2 1
Direct
0.0000 0.0000 0.0000
0.5000 0.5000 0.5000
0.0000 0.5000 0.5000
0.5000 0.0000 0.5000
0.5000 0.5000 0.0000